# 1
BaPr2Hg | GGA-PBE | optimized geometry

Lattice parameters (Å, degrees): 3.9296 3.9296 9.7683 90.00 90.00 90.00
Space group P4/mmm (No. 123)
Inequivalent atoms, fractional coordinates:
Ba (0.0000, 0.0000, 0.0000) x1
Pr (0.5000, 0.5000, 0.3145) x2
Hg (0.0000, 0.0000, 0.5000) x1

- ΔE to the lowest computed polymorph (meV per atom) = 0.0
- formation energy from the elements (eV per atom) = -0.126



# 2
BaPrHg2 | GGA-PBE | optimized geometry

Lattice parameters (Å, degrees): 4.2813 4.2813 27.6336 90.00 90.00 120.00
Space group R3m (No. 160, hexagonal axes)
Inequivalent atoms, fractional coordinates:
Ba (0.0000, 0.0000, 0.0000) x3
Pr (0.0000, 0.0000, 0.1658) x3
Hg (0.0000, 0.0000, 0.5747) x3
Hg (0.0000, 0.0000, 0.7581) x3

- formation energy from the elements (eV per atom) = -0.321



# 3
BaPrHg | GGA-PBE | optimized geometry

Lattice parameters (Å, degrees): 5.2596 5.2596 8.4242 90.00 90.00 90.00
Space group P4/nmm (No. 129, origin choice 2)
Inequivalent atoms, fractional coordinates:
Ba (0.2500, 0.2500, 0.1353) x2
Pr (0.2500, 0.7500, 0.5000) x2
Hg (0.2500, 0.2500, 0.7226) x2

- ΔE to the lowest computed polymorph (meV per atom) = 0.0
- formation energy from the elements (eV per atom) = -0.298



# 4
Ba3PrHg4 | GGA-PBE | optimized geometry

Lattice parameters (Å, degrees): 4.0829 4.0829 16.6979 90.00 90.00 90.00
Space group P4/mmm (No. 123)
Inequivalent atoms, fractional coordinates:
Ba (0.0000, 0.0000, 0.0000) x1
Ba (0.0000, 0.0000, 0.2602) x2
Pr (0.0000, 0.0000, 0.5000) x1
Hg (0.5000, 0.5000, 0.1294) x2
Hg (0.5000, 0.5000, 0.3966) x2

- formation energy from the elements (eV per atom) = -0.499



# 5
BaPr2Hg | GGA-PBE | optimized geometry

Lattice parameters (Å, degrees): 3.9429 3.9429 34.4677 90.00 90.00 120.00
Space group R3m (No. 160, hexagonal axes)
Inequivalent atoms, fractional coordinates:
Ba (0.0000, 0.0000, 0.0000) x3
Pr (0.0000, 0.0000, 0.2339) x3
Pr (0.0000, 0.0000, 0.4322) x3
Hg (0.0000, 0.0000, 0.8332) x3

- ΔE to the lowest computed polymorph (meV per atom) = 72.7
- formation energy from the elements (eV per atom) = -0.053



# 6
Ba2PrHgSe5 | GGA-PBE | optimized geometry

Lattice parameters (Å, degrees): 4.3907 19.3013 13.3503 90.00 90.00 90.00
Space group Cmc2_1 (No. 36)
Inequivalent atoms, fractional coordinates:
Ba (0.0000, 0.1173, 0.0000) x4
Ba (0.0000, 0.1297, 0.6303) x4
Pr (0.0000, 0.2061, 0.3243) x4
Hg (0.0000, 0.4586, 0.7593) x4
Se (0.0000, 0.0489, 0.3746) x4
Se (0.0000, 0.2936, 0.9767) x4
Se (0.0000, 0.3105, 0.6728) x4
Se (0.0000, 0.3564, 0.3186) x4
Se (0.0000, 0.4953, 0.0766) x4

- raw formation energy (eV per atom) = -1.434



# 7
BaPr2SmHg4 | GGA-PBE | optimized geometry

Lattice parameters (Å, degrees): 5.5227 5.5227 27.6017 90.00 90.00 120.00
Space group R-3m (No. 166, hexagonal axes)
Inequivalent atoms, fractional coordinates:
Ba (0.0000, 0.0000, 0.0000) x3
Pr (0.0000, 0.0000, 0.2477) x6
Sm (0.0000, 0.0000, 0.5000) x3
Hg (0.0000, 0.0000, 0.1296) x6
Hg (0.0000, 0.0000, 0.3837) x6

- formation energy from the elements (eV per atom) = -0.438



# 8
BaPrSn2Hg2 | GGA-PBE | optimized geometry

Lattice parameters (Å, degrees): 4.9403 4.9403 8.9334 90.00 90.00 120.00
Space group P-3m1 (No. 164)
Inequivalent atoms, fractional coordinates:
Ba (0.0000, 0.0000, 0.0000) x1
Pr (0.0000, 0.0000, 0.5000) x1
Sn (0.3333, 0.6667, 0.2560) x2
Hg (0.3333, 0.6667, 0.6769) x2

- formation energy from the elements (eV per atom) = -0.567